1.
Compound: ReTe2Cl
Source: Alexandria via LeMat-Bulk
Functional: PBE-GGA
Structure: relaxed

abc: 7.000 7.000 10.848
angles: 90.00 90.00 90.00
Space group I-42d (No. 122)
Symmetry-distinct sites (fractional):
Re  0.000  0.000  0.000 x4
Te  0.176  0.250  0.125 x8
Cl  0.000  0.000  0.500 x4

Values from the calculation:
**Uncorrected energy**: -4.805 eV per atom

2.
Compound: Re2TeCl
Source: Alexandria via LeMat-Bulk
Functional: PBE-GGA
Structure: relaxed

abc: 3.239 3.239 6.392
angles: 90.00 90.00 90.00
Space group P4/mmm (No. 123)
Symmetry-distinct sites (fractional):
Re  0.000  0.000  0.242 x2
Te  0.500  0.500  0.000 x1
Cl  0.500  0.500  0.500 x1

Values from the calculation:
**Uncorrected energy**: -6.217 eV per atom

no.,energy relative to the lowest polymorph listed for this composition (meV/atom)
1,278
2,1186